## TmVAgO4 (PBE with a Hubbard U)

Data for an optimized crystal structure of TmVAgO4.

Values from the calculation:
Total moment: 0.1429 μB per atom
Total energy: -98.108 eV per cell

a b c (Å): 5.899 6.073 6.845
angles (deg): 90.00 110.48 90.00
Each line ends with the local moment (μB).
Atoms (fractional coordinates):
Tm: 0.819 0.750 0.464  0.00
Tm: 0.181 0.250 0.536  0.00
V: 0.257 0.750 0.313  0.98
V: 0.743 0.250 0.687  0.98
Ag: 0.475 0.750 0.874  0.00
Ag: 0.525 0.250 0.126  0.00
O: 0.952 0.469 0.676  -0.01
O: 0.048 0.969 0.324  -0.01
O: 0.048 0.531 0.324  -0.01
O: 0.952 0.031 0.676  -0.01
O: 0.479 0.750 0.183  -0.02
O: 0.521 0.250 0.817  -0.02
O: 0.498 0.750 0.572  0.01
O: 0.502 0.250 0.428  0.01